The following is a DFT calculation (GGA-PBE) of a geometry-optimized Si2SnMo2 structure.

Summary:
Theoretical density   7.63 g/cm³
Total moment   0.0 Bohr magnetons per cell
Raw formation energy   0.08 eV/atom
ΔE to the lowest computed polymorph   230 meV/atom
SG   P4/mbm (127)
Density of states at the Fermi level   0.5697 states/eV per atom

```
10
Lattice="7.086 0.000 0.000 0.000 7.086 0.000 0.000 0.000 3.180" Properties=species:S:1:pos:R:3 pbc="T T T"
Mo 1.149 4.692 1.590
Mo 4.692 5.937 1.590
Mo 5.937 2.394 1.590
Mo 2.394 1.149 1.590
Si 2.649 6.192 0.000
Si 6.192 4.437 0.000
Si 4.437 0.894 0.000
Si 0.894 2.649 0.000
Sn 0.000 0.000 0.000
Sn 3.543 3.543 0.000
```